No. 1
DFT (GGA-PBEsol) results for a relaxed CsHgBr2Cl crystal.

```
CsHgBr2Cl
1.0
5.5147 0.0000 0.0000
0.0000 5.5147 0.0000
0.0000 0.0000 5.3168
Cs Hg Br Cl
1 1 2 1
Direct
0.0000 0.0000 0.0000 Cs
0.5000 0.5000 0.5000 Hg
0.0000 0.5000 0.5000 Br
0.5000 0.0000 0.5000 Br
0.5000 0.5000 0.0000 Cl
```

Values from the calculation:
crystal system = tetragonal
final energy = -12.493 eV for the cell shown
formation energy (no corrections) = -1.0471 eV/atom
symmetry = P4/mmm, No. 123

=====

No. 2
DFT (GGA-PBEsol) results for a relaxed CsMo3Br3Cl4 crystal.

```
CsMo3Br3Cl4
1.0
9.9427 0.0000 0.0000
-4.9714 8.6107 0.0000
0.0000 0.0000 15.1100
Cs Mo Br Cl
4 12 12 16
Direct
0.0000 0.0000 0.0000 Cs
0.0000 0.0000 0.5000 Cs
0.3333 0.6667 0.2512 Cs
0.6667 0.3333 0.7512 Cs
0.1813 0.5168 0.8212 Mo
0.1817 0.6653 0.6814 Mo
0.3347 0.5164 0.6814 Mo
0.3355 0.8187 0.8212 Mo
0.4832 0.6645 0.8212 Mo
0.4836 0.8183 0.6814 Mo
0.5164 0.3347 0.1814 Mo
0.5168 0.1813 0.3212 Mo
0.6645 0.4832 0.3212 Mo
0.6653 0.1817 0.1814 Mo
0.8183 0.4836 0.1814 Mo
0.8187 0.3355 0.3212 Mo
0.0454 0.6936 0.0904 Br
0.0463 0.3538 0.4122 Br
0.3064 0.3518 0.0904 Br
0.3075 0.9537 0.4122 Br
0.3518 0.3064 0.5904 Br
0.3538 0.0463 0.9122 Br
0.6462 0.6925 0.4122 Br
0.6482 0.9546 0.0904 Br
0.6925 0.6462 0.9122 Br
0.6936 0.0454 0.5904 Br
0.9537 0.3075 0.9122 Br
0.9546 0.6482 0.5904 Br
0.0510 0.3802 0.6838 Cl
0.0519 0.6724 0.8188 Cl
0.3276 0.3794 0.8188 Cl
0.3292 0.9490 0.6838 Cl
0.3333 0.6667 0.5538 Cl
0.3333 0.6667 0.9488 Cl
0.3794 0.3276 0.3188 Cl
0.3802 0.0510 0.1838 Cl
0.6198 0.6708 0.6838 Cl
0.6206 0.9481 0.8188 Cl
0.6667 0.3333 0.0538 Cl
0.6667 0.3333 0.4488 Cl
0.6708 0.6198 0.1838 Cl
0.6724 0.0519 0.3188 Cl
0.9481 0.6206 0.3188 Cl
0.9490 0.3292 0.1838 Cl
```

Values from the calculation:
crystal system = trigonal
final energy = -245.967 eV for the cell shown
formation energy (no corrections) = -1.0549 eV/atom
symmetry = P31c, No. 159

=====

No. 3
DFT (GGA-PBEsol) results for a relaxed CsP2BrCl crystal.

```
CsP2BrCl
1.0
7.4270 0.0000 0.0000
0.0000 7.4270 0.0000
0.0000 0.0000 6.0557
Cs P Br Cl
1 2 1 1
Direct
0.0000 0.0000 0.0000 Cs
0.0000 0.5000 0.0000 P
0.5000 0.0000 0.0000 P
0.5000 0.5000 0.5000 Br
0.0000 0.0000 0.5000 Cl
```

Values from the calculation:
crystal system = tetragonal
final energy = -10.342 eV for the cell shown
formation energy (no corrections) = 1.2123 eV/atom
symmetry = P4/mmm, No. 123

=====

No. 4
DFT (GGA-PBEsol) results for a relaxed CsReBrCl3 crystal.

```
CsReBrCl3
1.0
10.7619 0.0000 0.0000
0.0000 7.0690 7.0474
0.0000 -7.0690 7.0474
Cs Re Br Cl
6 6 6 18
Direct
0.0000 0.0000 0.0000 Cs
0.2500 0.2064 0.5710 Cs
0.2500 0.7087 0.5138 Cs
0.5000 0.0000 0.0000 Cs
0.7500 0.5138 0.7087 Cs
0.7500 0.5710 0.2064 Cs
0.1357 0.5559 0.9918 Re
0.2500 0.3666 0.0889 Re
0.3643 0.5559 0.9918 Re
0.6357 0.9918 0.5559 Re
0.7500 0.0889 0.3666 Re
0.8643 0.9918 0.5559 Re
0.0135 0.3613 0.0907 Br
0.2500 0.7532 0.8878 Br
0.4865 0.3613 0.0907 Br
0.5135 0.0907 0.3613 Br
0.7500 0.8878 0.7532 Br
0.9865 0.0907 0.3613 Br
0.0733 0.9387 0.6679 Cl
0.1011 0.4725 0.7779 Cl
0.1025 0.6788 0.1846 Cl
0.2500 0.1354 0.2015 Cl
0.2500 0.2252 0.9048 Cl
0.2500 0.4329 0.3105 Cl
0.3975 0.6788 0.1846 Cl
0.3989 0.4725 0.7779 Cl
0.4267 0.9387 0.6679 Cl
0.5733 0.6679 0.9387 Cl
0.6011 0.7779 0.4725 Cl
0.6025 0.1846 0.6788 Cl
0.7500 0.2015 0.1354 Cl
0.7500 0.3105 0.4329 Cl
0.7500 0.9048 0.2252 Cl
0.8975 0.1846 0.6788 Cl
0.8989 0.7779 0.4725 Cl
0.9267 0.6679 0.9387 Cl
```

Values from the calculation:
crystal system = orthorhombic
final energy = -171.681 eV for the cell shown
formation energy (no corrections) = -1.0742 eV/atom
symmetry = Ama2, No. 40

=====

No. 5
DFT (GGA-PBEsol) results for a relaxed CuBrCl crystal.

```
CuBrCl
1.0
0.0000 3.6297 6.2295
1.6660 0.0000 6.2295
1.6660 3.6297 0.0000
Cu Br Cl
1 1 1
Direct
0.0000 0.0000 0.0000 Cu
0.6350 0.6350 0.3650 Br
0.3803 0.3803 0.6197 Cl
```

Values from the calculation:
crystal system = orthorhombic
final energy = -9.204 eV for the cell shown
formation energy (no corrections) = -0.3308 eV/atom
offset from the most stable computed form = 0.0000 eV/atom
symmetry = Fmm2, No. 42

=====

No. 6
DFT (GGA-PBEsol) results for a relaxed Cu3BrCl crystal.

```
Cu3BrCl
1.0
4.5077 0.0000 0.0000
0.0000 4.5077 0.0000
0.0000 0.0000 4.5077
Cu Br Cl
3 1 1
Direct
0.0000 0.0000 0.5000 Cu
0.0000 0.5000 0.0000 Cu
0.5000 0.0000 0.0000 Cu
0.5000 0.5000 0.5000 Br
0.0000 0.0000 0.0000 Cl
```

Values from the calculation:
crystal system = cubic
final energy = -14.119 eV for the cell shown
formation energy (no corrections) = 0.5523 eV/atom
offset from the most stable computed form = 0.0000 eV/atom
symmetry = Pm-3m, No. 221

=====

No. 7
DFT (GGA-PBEsol) results for a relaxed CuBrCl3 crystal.

```
CuBrCl3
1.0
4.6533 0.0000 0.0000
0.0000 4.6533 0.0000
0.0000 0.0000 4.6533
Cu Br Cl
1 1 3
Direct
0.0000 0.0000 0.0000 Cu
0.5000 0.5000 0.5000 Br
0.0000 0.0000 0.5000 Cl
0.0000 0.5000 0.0000 Cl
0.5000 0.0000 0.0000 Cl
```

Values from the calculation:
crystal system = cubic
final energy = -12.129 eV for the cell shown
formation energy (no corrections) = 0.0198 eV/atom
symmetry = Pm-3m, No. 221

=====

No. 8
DFT (GGA-PBEsol) results for a relaxed Cu3BrCl crystal.

```
Cu3BrCl
1.0
4.6733 0.0000 0.0000
0.0000 4.6733 0.0000
0.0000 0.0000 4.6733
Cu Br Cl
3 1 1
Direct
0.0000 0.0000 0.5000 Cu
0.0000 0.5000 0.0000 Cu
0.5000 0.0000 0.0000 Cu
0.0000 0.0000 0.0000 Br
0.5000 0.5000 0.5000 Cl
```

Values from the calculation:
crystal system = cubic
final energy = -13.445 eV for the cell shown
formation energy (no corrections) = 0.6870 eV/atom
offset from the most stable computed form = 0.1348 eV/atom
symmetry = Pm-3m, No. 221